Entry from the Alexandria database: a geometry-optimized Li2CoAs2Ir structure (PBE).

Values from the calculation:
total magnetization: 0.547 μB per formula unit
energy of formation from the pure elements: -0.4962 eV per atom
SG: Ibam (72)
total energy: -5.345 eV per atom

Lattice parameters (Å, degrees): 7.236 7.236 7.236 135.30 65.83 134.32
Positions (direct):
Li  0.162  0.244  0.407
Li  0.338  0.744  0.082
Li  0.662  0.256  0.918
Li  0.838  0.756  0.593
Co  0.250  0.750  0.500
Co  0.750  0.250  0.500
As  0.117  0.729  0.846
As  0.383  0.229  0.612
As  0.617  0.771  0.388
As  0.883  0.271  0.154
Ir  0.250  0.250  0.000
Ir  0.750  0.750  0.000